Computed, not measured: a crystal of ScNiAg2 relaxed with PBEsol at the SCAN level of DFT.

Lattice parameters (Å, degrees): 3.9499 3.9499 4.8816 113.86 113.86 90.00
Fractional positions:
Ag1 0.0000 0.0000 0.0000
Ag2 0.7500 0.2500 0.5000
Ni1 0.5000 0.5000 0.0000
Sc1 0.2500 0.7500 0.5000

## Properties
Size of the total moment   0.00 μB/cell
Energy of formation   -0.175 eV per atom
Volume   62 Å³/cell
Space-group type   I-4m2, No. 119
Raw total energy   -23.46 eV per atom